1.
A plane-wave DFT calculation with PBEsol was carried out for an optimized crystal structure of GaCoPCl2.

Cell and atoms, written as extended XYZ:
```
5
Lattice="4.769 0.000 0.000 0.000 4.769 0.000 0.000 0.000 4.198" Properties=species:S:1:pos:R:3 pbc="T T T"
Ga 0.000 0.000 0.000
Co 2.384 2.384 2.099
P 2.384 2.384 0.000
Cl 0.000 2.384 2.099
Cl 2.384 0.000 2.099
```

## Properties
DFT total energy = -20.95 eV for the cell shown
Space group = P4/mmm, No. 123
ρ = 4.0 g cm⁻³

2.
A plane-wave DFT calculation with PBEsol was carried out for an optimized crystal structure of GaCoSCl2.

Cell and atoms, written as extended XYZ:
```
5
Lattice="4.775 0.000 0.000 0.000 4.775 0.000 0.000 0.000 4.172" Properties=species:S:1:pos:R:3 pbc="T T T"
Ga 0.000 0.000 0.000
Co 2.388 2.388 2.086
S 2.388 2.388 0.000
Cl 0.000 2.388 2.086
Cl 2.388 0.000 2.086
```

## Properties
DFT total energy = -20.58 eV for the cell shown
Space group = P4/mmm, No. 123
ρ = 4.0 g cm⁻³

3.
A plane-wave DFT calculation with PBEsol was carried out for an optimized crystal structure of CoGe3Cl.

Cell and atoms, written as extended XYZ:
```
5
Lattice="4.784 0.000 0.000 0.000 4.784 0.000 0.000 0.000 4.784" Properties=species:S:1:pos:R:3 pbc="T T T"
Co 0.000 0.000 0.000
Ge 0.000 2.392 2.392
Ge 2.392 0.000 2.392
Ge 2.392 2.392 0.000
Cl 2.392 2.392 2.392
```

## Properties
DFT total energy = -18.26 eV for the cell shown
Space group = Pm-3m, No. 221
ρ = 4.7 g cm⁻³

4.
A plane-wave DFT calculation with PBEsol was carried out for an optimized crystal structure of CoGeI2Cl.

Cell and atoms, written as extended XYZ:
```
5
Lattice="5.649 0.000 0.000 0.000 5.649 0.000 0.000 0.000 4.815" Properties=species:S:1:pos:R:3 pbc="T T T"
Co 0.000 0.000 0.000
Ge 2.824 2.824 2.407
I 0.000 2.824 2.407
I 2.824 0.000 2.407
Cl 2.824 2.824 0.000
```

## Properties
DFT total energy = -15.36 eV for the cell shown
Space group = P4/mmm, No. 123
ρ = 4.5 g cm⁻³

5.
A plane-wave DFT calculation with PBEsol was carried out for an optimized crystal structure of CoHCl2.

Cell and atoms, written as extended XYZ:
```
8
Lattice="-2.453 2.453 4.650 2.453 -2.453 4.650 2.453 2.453 -4.650" Properties=species:S:1:pos:R:3 pbc="T T T"
Co 0.000 0.000 0.000
Co 0.000 2.453 2.325
H 2.453 0.000 2.325
H 0.000 0.000 4.650
Cl 1.226 -1.030 3.487
Cl 1.423 1.226 1.162
Cl 1.226 3.482 -1.162
Cl 1.030 1.226 5.812
```

## Properties
DFT total energy = -29.69 eV for the cell shown
Space group = I-42d, No. 122
ρ = 3.9 g cm⁻³

6.
A plane-wave DFT calculation with PBEsol was carried out for an optimized crystal structure of CoMoH24N6ClO7.

Cell and atoms, written as extended XYZ:
```
160
Lattice="18.450 0.000 0.000 0.000 8.737 0.000 0.000 0.000 8.070" Properties=species:S:1:pos:R:3 pbc="T T T"
Co 3.201 2.184 1.368
Co 6.024 6.553 5.403
Co 12.426 2.184 2.667
Co 15.249 6.553 6.703
Mo 1.820 6.553 7.059
Mo 7.405 2.184 3.024
Mo 11.045 6.553 5.046
Mo 16.630 2.184 1.011
H 0.147 6.553 1.546
H 0.888 0.959 4.819
H 0.888 3.410 4.819
H 0.966 1.160 1.075
H 0.966 3.209 1.075
H 1.020 6.553 2.860
H 1.451 4.918 4.673
H 1.451 8.188 4.673
H 1.590 0.616 2.558
H 1.590 3.753 2.558
H 2.112 4.411 1.104
H 2.112 8.695 1.104
H 2.428 1.332 7.204
H 2.428 3.036 7.204
H 3.056 1.366 3.746
H 3.056 3.003 3.746
H 3.841 2.184 7.030
H 4.048 5.440 4.347
H 4.048 7.666 4.347
H 4.063 5.009 5.961
H 4.063 8.097 5.961
H 4.100 4.451 0.843
H 4.100 8.655 0.843
H 4.512 2.184 3.540
H 4.713 6.553 7.575
H 5.125 0.082 4.879
H 5.125 4.286 4.879
H 5.162 0.640 1.926
H 5.162 3.729 1.926
H 5.177 1.071 0.312
H 5.177 3.298 0.312
H 5.384 6.553 2.994
H 6.169 5.734 7.782
H 6.169 7.372 7.782
H 6.797 5.701 3.168
H 6.797 7.405 3.168
H 7.113 0.043 5.139
H 7.113 4.326 5.139
H 7.635 4.984 6.594
H 7.635 8.122 6.594
H 7.774 0.549 0.638
H 7.774 3.819 0.638
H 8.205 2.184 6.895
H 8.260 5.528 5.110
H 8.260 7.578 5.110
H 8.337 5.327 0.783
H 8.337 7.779 0.783
H 9.079 2.184 5.581
H 9.372 6.553 2.489
H 10.113 0.959 7.287
H 10.113 3.410 7.287
H 10.191 1.160 2.960
H 10.191 3.209 2.960
H 10.245 6.553 1.175
H 10.676 4.918 7.432
H 10.676 8.188 7.432
H 10.815 0.616 1.477
H 10.815 3.753 1.477
H 11.337 4.411 2.931
H 11.337 8.695 2.931
H 11.654 1.332 4.902
H 11.654 3.036 4.902
H 12.281 1.366 0.289
H 12.281 3.003 0.289
H 13.066 2.184 5.076
H 13.273 5.440 7.759
H 13.273 7.666 7.759
H 13.288 5.009 6.145
H 13.288 8.097 6.145
H 13.325 4.451 3.192
H 13.325 8.655 3.192
H 13.737 2.184 0.495
H 13.938 6.553 4.530
H 14.351 0.082 7.227
H 14.351 4.286 7.227
H 14.387 0.640 2.109
H 14.387 3.729 2.109
H 14.402 1.071 3.723
H 14.402 3.298 3.723
H 14.609 6.553 1.041
H 15.394 5.734 4.324
H 15.394 7.372 4.324
H 16.022 5.701 0.867
H 16.022 7.405 0.867
H 16.338 0.043 6.967
H 16.338 4.326 6.967
H 16.860 4.984 5.512
H 16.860 8.122 5.512
H 16.999 0.549 3.397
H 16.999 3.819 3.397
H 17.430 2.184 5.210
H 17.485 5.528 6.996
H 17.485 7.578 6.996
H 17.562 5.327 3.252
H 17.562 7.779 3.252
H 18.304 2.184 6.524
N 1.821 0.836 1.563
N 1.821 3.533 1.563
N 2.919 2.184 7.516
N 3.511 2.184 3.292
N 4.554 0.809 1.101
N 4.554 3.559 1.101
N 4.671 5.178 5.136
N 4.671 7.928 5.136
N 5.714 6.553 7.327
N 6.306 6.553 3.481
N 7.404 5.205 5.598
N 7.404 7.901 5.598
N 11.046 0.836 2.473
N 11.046 3.533 2.473
N 12.144 2.184 4.590
N 12.736 2.184 0.743
N 13.779 0.809 2.935
N 13.779 3.559 2.935
N 13.897 5.178 6.970
N 13.897 7.928 6.970
N 14.939 6.553 4.778
N 15.531 6.553 0.554
N 16.629 5.205 6.508
N 16.629 7.901 6.508
Cl 3.261 6.553 2.425
Cl 5.964 2.184 6.461
Cl 12.486 6.553 1.610
Cl 15.189 2.184 5.645
O 0.075 6.553 2.560
O 0.325 6.553 8.035
O 1.361 6.553 5.358
O 1.575 0.388 4.362
O 1.575 3.981 4.362
O 2.800 5.118 7.363
O 2.800 7.988 7.363
O 6.425 0.750 3.328
O 6.425 3.619 3.328
O 7.650 4.757 0.327
O 7.650 8.349 0.327
O 7.864 2.184 1.323
O 8.900 2.184 3.999
O 9.150 2.184 6.595
O 9.300 6.553 1.475
O 9.550 6.553 4.071
O 10.586 6.553 6.747
O 10.800 0.388 7.744
O 10.800 3.981 7.744
O 12.025 5.118 4.742
O 12.025 7.988 4.742
O 15.650 0.750 0.707
O 15.650 3.619 0.707
O 16.875 4.757 3.708
O 16.875 8.349 3.708
O 17.089 2.184 2.712
O 18.125 2.184 0.036
O 18.375 2.184 5.511
```

## Properties
DFT total energy = -885.23 eV for the cell shown
Space group = Pnma, No. 62
ρ = 2.1 g cm⁻³

7.
A plane-wave DFT calculation with PBEsol was carried out for an optimized crystal structure of CoH6N2Cl2.

Cell and atoms, written as extended XYZ:
```
22
Lattice="-3.571 3.847 3.834 3.571 -3.847 3.834 3.571 3.847 -3.834" Properties=species:S:1:pos:R:3 pbc="T T T"
Co 0.000 1.924 1.843
Co 3.571 1.924 1.992
H 3.571 -0.459 1.114
H 2.752 3.475 -2.558
H 0.818 -0.372 1.276
H 2.752 -0.372 2.558
H 4.389 -0.372 2.558
H 3.571 3.388 -1.114
H 0.000 0.459 4.949
H -0.818 4.219 1.276
H 0.818 4.219 1.276
H 2.752 4.219 2.558
H 0.818 0.372 6.392
H 0.000 4.306 2.720
N 3.571 3.840 -2.041
N 3.571 -0.007 2.041
N 0.000 3.854 1.793
N 0.000 0.007 5.876
Cl 1.842 1.924 0.340
Cl 5.299 1.924 0.340
Cl -1.729 1.924 3.495
Cl 1.729 1.924 3.495
```

## Properties
DFT total energy = -108.69 eV for the cell shown
Space group = Imma, No. 74
ρ = 2.6 g cm⁻³

8.
A plane-wave DFT calculation with PBEsol was carried out for an optimized crystal structure of CoH17S2N5ClO4.

Cell and atoms, written as extended XYZ:
```
120
Lattice="12.672 0.000 0.000 0.000 7.991 0.000 0.000 0.000 10.082" Properties=species:S:1:pos:R:3 pbc="T T T"
Co 2.034 1.998 2.451
Co 4.302 5.993 7.492
Co 8.370 1.998 2.590
Co 10.638 5.993 7.631
H 0.018 0.966 1.380
H 0.018 3.030 1.380
H 0.026 1.998 7.201
H 0.107 0.432 2.954
H 0.107 3.564 2.954
H 1.064 4.237 1.751
H 1.064 7.750 1.751
H 1.155 1.998 8.289
H 1.178 1.163 4.716
H 1.178 2.832 4.716
H 2.367 4.415 7.048
H 2.367 7.572 7.048
H 2.432 4.800 8.673
H 2.432 7.187 8.673
H 2.582 1.998 4.891
H 2.851 4.313 2.996
H 2.851 7.674 2.996
H 3.485 0.317 8.037
H 3.485 3.679 8.037
H 3.754 5.993 9.932
H 3.904 0.805 3.632
H 3.904 3.191 3.632
H 3.969 0.419 2.007
H 3.969 3.576 2.007
H 5.158 5.159 9.757
H 5.158 6.828 9.757
H 5.181 5.993 3.248
H 5.272 0.242 6.792
H 5.272 3.754 6.792
H 6.229 4.427 7.994
H 6.229 7.560 7.994
H 6.310 5.993 2.160
H 6.318 4.962 6.420
H 6.318 7.025 6.420
H 6.354 0.966 3.661
H 6.354 3.030 3.661
H 6.362 1.998 7.922
H 6.443 0.432 2.087
H 6.443 3.564 2.087
H 7.400 4.237 3.289
H 7.400 7.750 3.289
H 7.491 1.998 6.834
H 7.514 1.163 0.324
H 7.514 2.832 0.324
H 8.703 4.415 8.075
H 8.703 7.572 8.075
H 8.768 4.800 6.450
H 8.768 7.187 6.450
H 8.918 1.998 0.150
H 9.188 4.313 2.045
H 9.188 7.674 2.045
H 9.821 0.317 7.085
H 9.821 3.679 7.085
H 10.091 5.993 5.191
H 10.240 0.805 1.409
H 10.240 3.191 1.409
H 10.306 0.419 3.034
H 10.306 3.576 3.034
H 11.495 5.159 5.365
H 11.495 6.828 5.365
H 11.517 5.993 1.793
H 11.608 0.242 8.330
H 11.608 3.754 8.330
H 12.565 4.427 7.128
H 12.565 7.560 7.128
H 12.647 5.993 2.881
H 12.655 4.962 8.702
H 12.655 7.025 8.702
S 1.870 5.993 4.972
S 2.440 1.998 0.254
S 3.897 5.993 5.295
S 4.466 1.998 10.013
S 8.206 5.993 0.069
S 8.776 1.998 4.787
S 10.233 5.993 9.828
S 10.803 1.998 5.110
N 0.676 0.646 2.117
N 0.676 3.350 2.117
N 1.683 1.998 4.376
N 3.013 4.579 7.842
N 3.013 7.408 7.842
N 3.323 0.583 2.801
N 3.323 3.412 2.801
N 4.653 5.993 9.417
N 5.660 4.642 7.158
N 5.660 7.345 7.158
N 7.012 0.646 2.923
N 7.012 3.350 2.923
N 8.020 1.998 0.665
N 9.350 4.579 7.281
N 9.350 7.408 7.281
N 9.659 0.583 2.240
N 9.659 3.412 2.240
N 10.989 5.993 5.706
N 11.996 4.642 7.964
N 11.996 7.345 7.964
Cl 1.308 5.993 0.169
Cl 5.028 1.998 5.210
Cl 7.644 5.993 4.872
Cl 11.365 1.998 9.913
O 1.006 1.998 7.317
O 1.270 4.775 5.557
O 1.270 7.212 5.557
O 1.764 5.993 3.491
O 4.572 1.998 8.532
O 5.066 0.779 0.516
O 5.066 3.216 0.516
O 5.330 5.993 2.276
O 7.342 1.998 7.805
O 7.606 4.775 9.566
O 7.606 7.212 9.566
O 8.100 5.993 1.550
O 10.908 1.998 6.591
O 11.403 0.779 4.525
O 11.403 3.216 4.525
O 11.666 5.993 2.765
```

## Properties
DFT total energy = -634.13 eV for the cell shown
Space group = Pnma, No. 62
ρ = 2.0 g cm⁻³